Entry from Alexandria: a crystal of AgAsIr3 relaxed with PBEsol (SCAN).

Cell: 4.699 4.699 4.699 Å, 90.00 90.00 90.00°
Element x y z (fractional)
Ag 0.000 0.000 0.000
As 0.500 0.500 0.500
Ir 0.000 0.000 0.500
Ir 0.000 0.500 0.000
Ir 0.500 0.000 0.000

Calculated values
Space group   No. 221
ΔE_f   2653 meV/atom
Total magnetization   2.7 μB/f.u.
V   20.75 Å³ per atom
D(E_F)   1.196 states/eV/atom
E   -50.3180 eV/atom

---

Entry from Alexandria: a crystal of AsS2BrN relaxed with PBEsol (SCAN).

Cell: 4.940 4.940 3.623 Å, 90.00 90.00 90.00°
Element x y z (fractional)
As 0.000 0.000 0.000
S 0.000 0.500 0.500
S 0.500 0.000 0.500
Br 0.500 0.500 0.500
N 0.500 0.500 0.000

Calculated values
Uncorrected formation energy   1.73 eV per atom
Space group   No. 123
Total magnetization   0.0 μB/f.u.
V   17.68 Å³ per atom
D(E_F)   0.444 states/eV/atom
E   -11.9093 eV/atom

---

Entry from Alexandria: a crystal of CaBi2W relaxed with PBEsol (SCAN).

Cell: 5.039 5.039 5.039 Å, 60.00 60.00 60.00°
Element x y z (fractional)
Ca 0.000 0.000 0.000
Bi 0.250 0.250 0.250
Bi 0.750 0.750 0.750
W 0.500 0.500 0.500

Calculated values
Energy above the lowest structure with this stoichiometry   0 meV per atom
Space group   No. 225
ΔE_f   406 meV/atom
Total magnetization   0.0 μB/f.u.
V   22.62 Å³ per atom
D(E_F)   1.138 states/eV/atom
E   -58.7217 eV/atom

---

Entry from Alexandria: a crystal of Mg3ZnCu relaxed with PBEsol (SCAN).

Cell: 4.864 4.864 4.864 Å, 90.00 90.00 90.00°
Element x y z (fractional)
Mg 0.000 0.000 0.500
Mg 0.000 0.500 0.000
Mg 0.500 0.000 0.000
Zn 0.000 0.000 0.000
Cu 0.500 0.500 0.500

Calculated values
Energy above the lowest structure with this stoichiometry   148 meV per atom
Space group   No. 221
ΔE_f   484 meV/atom
Total magnetization   0.0 μB/f.u.
V   23.01 Å³ per atom
D(E_F)   0.487 states/eV/atom
E   -8.2433 eV/atom

---

Entry from Alexandria: a crystal of RuSe8 relaxed with PBEsol (SCAN).

Cell: 8.474 8.474 8.474 Å, 92.52 92.52 155.78°
Element x y z (fractional)
Ru 0.000 0.000 0.000
Se 0.000 0.202 0.202
Se 0.000 0.798 0.798
Se 0.202 0.000 0.202
Se 0.313 0.313 0.625
Se 0.313 0.687 0.000
Se 0.687 0.313 0.000
Se 0.687 0.687 0.375
Se 0.798 0.000 0.798

Calculated values
Uncorrected formation energy   0.38 eV per atom
Space group   No. 139
Total magnetization   0.0 μB/f.u.
V   27.13 Å³ per atom
D(E_F)   0.760 states/eV/atom
E   -21.3392 eV/atom

---

Entry from Alexandria: a crystal of PrHo3 relaxed with PBEsol (SCAN).

Cell: 6.053 6.053 6.053 Å, 131.73 131.73 70.66°
Element x y z (fractional)
Pr 0.000 0.000 0.000
Ho 0.250 0.750 0.500
Ho 0.500 0.500 0.000
Ho 0.750 0.250 0.500

Calculated values
Energy above the lowest structure with this stoichiometry   8 meV per atom
Space group   No. 139
ΔE_f   28 meV/atom
Total magnetization   0.0 μB/f.u.
V   30.25 Å³ per atom
D(E_F)   1.263 states/eV/atom
E   -47.5440 eV/atom

---

Entry from Alexandria: a crystal of CuTcMo2 relaxed with PBEsol (SCAN).

Cell: 4.311 4.311 4.311 Å, 60.00 60.00 60.00°
Element x y z (fractional)
Cu 0.000 0.000 0.000
Tc 0.500 0.500 0.500
Mo 0.250 0.250 0.250
Mo 0.750 0.750 0.750

Calculated values
Energy above the lowest structure with this stoichiometry   116 meV per atom
Space group   No. 225
ΔE_f   314 meV/atom
Total magnetization   0.0 μB/f.u.
V   14.16 Å³ per atom
D(E_F)   1.152 states/eV/atom
E   -29.6938 eV/atom

---

Entry from Alexandria: a crystal of LaRuF2 relaxed with PBEsol (SCAN).

Cell: 4.359 4.359 4.359 Å, 60.00 60.00 60.00°
Element x y z (fractional)
La 0.000 0.000 0.000
Ru 0.500 0.500 0.500
F 0.250 0.250 0.250
F 0.750 0.750 0.750

Calculated values
Uncorrected formation energy   -1.54 eV per atom
Space group   No. 225
Total magnetization   2.8 μB/f.u.
V   14.64 Å³ per atom
D(E_F)   0.633 states/eV/atom
E   -22.7968 eV/atom

---

Entry from Alexandria: a crystal of TaP2Br relaxed with PBEsol (SCAN).

Cell: 3.033 4.573 4.636 Å, 90.00 90.00 90.00°
Element x y z (fractional)
Ta 0.000 0.000 0.000
P 0.000 0.500 0.500
P 0.500 0.000 0.500
Br 0.500 0.500 0.000

Calculated values
Uncorrected formation energy   0.83 eV per atom
Energy above the lowest structure with this stoichiometry   705 meV per atom
Space group   No. 47
Total magnetization   0.0 μB/f.u.
V   16.07 Å³ per atom
D(E_F)   0.695 states/eV/atom
E   -25.8836 eV/atom

---

Entry from Alexandria: a crystal of K2PRh relaxed with PBEsol (SCAN).

Cell: 3.231 3.231 9.826 Å, 90.00 90.00 90.00°
Element x y z (fractional)
K 0.000 0.000 0.000
K 0.500 0.500 0.430
P 0.000 0.000 0.668
Rh 0.500 0.500 0.750

Calculated values
Space group   No. 99
ΔE_f   -196 meV/atom
Total magnetization   0.0 μB/f.u.
V   25.65 Å³ per atom
D(E_F)   0.369 states/eV/atom
E   -15.4030 eV/atom

---

Entry from Alexandria: a crystal of Ca3CoPd relaxed with PBEsol (SCAN).

Cell: 5.060 5.060 5.060 Å, 90.00 90.00 90.00°
Element x y z (fractional)
Ca 0.000 0.000 0.500
Ca 0.000 0.500 0.000
Ca 0.500 0.000 0.000
Co 0.000 0.000 0.000
Pd 0.500 0.500 0.500

Calculated values
Space group   No. 221
ΔE_f   330 meV/atom
Total magnetization   0.0 μB/f.u.
V   25.91 Å³ per atom
D(E_F)   0.653 states/eV/atom
E   -15.4838 eV/atom

---

Entry from Alexandria: a crystal of FeTcO2 relaxed with PBEsol (SCAN).

Cell: 6.640 6.640 6.640 Å, 23.48 23.48 23.48°
Element x y z (fractional)
Fe 0.000 0.000 0.000
Tc 0.500 0.500 0.500
O 0.097 0.097 0.097
O 0.903 0.903 0.903

Calculated values
Uncorrected formation energy   -1.05 eV per atom
Space group   No. 166
Total magnetization   3.1 μB/f.u.
V   10.20 Å³ per atom
D(E_F)   0.501 states/eV/atom
E   -17.4611 eV/atom

---

Entry from Alexandria: a crystal of NaSc2Au2 relaxed with PBEsol (SCAN).

Cell: 7.910 7.910 3.286 Å, 90.00 90.00 90.00°
Element x y z (fractional)
Na 0.000 0.000 0.000
Na 0.500 0.500 0.000
Sc 0.156 0.344 0.500
Sc 0.344 0.844 0.500
Sc 0.656 0.156 0.500
Sc 0.844 0.656 0.500
Au 0.137 0.637 0.000
Au 0.363 0.137 0.000
Au 0.637 0.863 0.000
Au 0.863 0.363 0.000

Calculated values
Space group   No. 127
ΔE_f   -768 meV/atom
Total magnetization   0.0 μB/f.u.
V   20.56 Å³ per atom
D(E_F)   0.791 states/eV/atom
E   -34.9690 eV/atom

---

Entry from Alexandria: a crystal of DyNi2B2C relaxed with PBEsol (SCAN).

Cell: 5.706 5.706 5.706 Å, 144.30 144.30 51.38°
Element x y z (fractional)
Dy 0.000 0.000 0.000
Ni 0.250 0.750 0.500
Ni 0.750 0.250 0.500
B 0.355 0.355 0.000
B 0.645 0.645 0.000
C 0.500 0.500 0.000

Calculated values
Space group   No. 139
ΔE_f   -577 meV/atom
Total magnetization   0.0 μB/f.u.
V   10.49 Å³ per atom
D(E_F)   0.426 states/eV/atom
E   -18.0936 eV/atom

---

Entry from Alexandria: a crystal of HgSb3Ru relaxed with PBEsol (SCAN).

Cell: 5.089 5.089 5.089 Å, 90.00 90.00 90.00°
Element x y z (fractional)
Hg 0.000 0.000 0.000
Sb 0.000 0.500 0.500
Sb 0.500 0.000 0.500
Sb 0.500 0.500 0.000
Ru 0.500 0.500 0.500

Calculated values
Uncorrected formation energy   0.38 eV per atom
Energy above the lowest structure with this stoichiometry   0 meV per atom
Space group   No. 221
Total magnetization   0.0 μB/f.u.
V   26.36 Å³ per atom
D(E_F)   0.557 states/eV/atom
E   -42.5730 eV/atom

---

Entry from Alexandria: a crystal of K5Al relaxed with PBEsol (SCAN).

Cell: 7.701 7.701 7.701 Å, 60.00 60.00 60.00°
Element x y z (fractional)
K 0.000 0.000 0.000
K 0.377 0.377 0.377
K 0.377 0.377 0.870
K 0.377 0.870 0.377
K 0.870 0.377 0.377
Al 0.750 0.750 0.750

Calculated values
Energy above the lowest structure with this stoichiometry   185 meV per atom
Space group   No. 216
ΔE_f   384 meV/atom
Total magnetization   0.3 μB/f.u.
V   53.83 Å³ per atom
D(E_F)   0.594 states/eV/atom
E   -7.8489 eV/atom

---

Entry from Alexandria: a crystal of ZnWS3 relaxed with PBEsol (SCAN).

Cell: 4.647 4.647 4.647 Å, 90.00 90.00 90.00°
Element x y z (fractional)
Zn 0.000 0.000 0.000
W 0.500 0.500 0.500
S 0.000 0.500 0.500
S 0.500 0.000 0.500
S 0.500 0.500 0.000

Calculated values
Uncorrected formation energy   0.16 eV per atom
Space group   No. 221
Total magnetization   0.0 μB/f.u.
V   20.07 Å³ per atom
D(E_F)   0.855 states/eV/atom
E   -22.2610 eV/atom

---

Entry from Alexandria: a crystal of MgBiMo2Au relaxed with PBEsol (SCAN).

Cell: 4.980 4.980 4.773 Å, 90.00 90.00 90.00°
Element x y z (fractional)
Mg 0.000 0.000 0.000
Bi 0.500 0.500 0.000
Mo 0.000 0.500 0.500
Mo 0.500 0.000 0.500
Au 0.000 0.000 0.500

Calculated values
Space group   No. 123
ΔE_f   1111 meV/atom
Total magnetization   5.3 μB/f.u.
V   23.67 Å³ per atom
D(E_F)   0.823 states/eV/atom
E   -43.3853 eV/atom

---

Entry from Alexandria: a crystal of KCaSi2 relaxed with PBEsol (SCAN).

Cell: 5.401 5.401 3.287 Å, 90.00 90.00 90.00°
Element x y z (fractional)
K 0.000 0.000 0.000
Ca 0.500 0.500 0.000
Si 0.000 0.500 0.500
Si 0.500 0.000 0.500

Calculated values
Uncorrected formation energy   0.31 eV per atom
Energy above the lowest structure with this stoichiometry   0 meV per atom
Space group   No. 123
Total magnetization   0.0 μB/f.u.
V   23.97 Å³ per atom
D(E_F)   0.523 states/eV/atom
E   -9.1935 eV/atom

---

Entry from Alexandria: a crystal of Fe2SbRh relaxed with PBEsol (SCAN).

Cell: 4.279 4.279 4.279 Å, 60.00 60.00 60.00°
Element x y z (fractional)
Fe 0.000 0.000 0.000
Fe 0.250 0.250 0.250
Sb 0.500 0.500 0.500
Rh 0.750 0.750 0.750

Calculated values
Uncorrected formation energy   -0.18 eV per atom
Space group   No. 216
Total magnetization   5.8 μB/f.u.
V   13.85 Å³ per atom
D(E_F)   0.380 states/eV/atom
E   -27.0035 eV/atom